Model 1:
VASP calculation (PBE) on crystalline CuAgAu4 at its relaxed geometry.

Cell: 7.7290 7.7290 7.7290 Å, 90.00 90.00 90.00°
Space group F-43m (No. 216)
Unique sites:
Cu1 0.0000 0.0000 0.0000 x4
Ag1 0.2500 0.2500 0.7500 x4
Au1 0.1251 0.1251 0.3749 x16

Model 2:
VASP calculation (PBE) on crystalline CuAgAu4 at its relaxed geometry.

Cell: 4.8790 8.8009 4.8642 Å, 90.00 90.00 90.00°
Space group Cmmm (No. 65)
Unique sites:
Cu1 0.0000 0.0000 0.0000 x2
Ag1 0.0000 0.5000 0.5000 x2
Au1 0.0000 0.1616 0.5000 x4
Au2 0.0000 0.3343 0.0000 x4

Model 3:
VASP calculation (PBE) on crystalline CuAgAu4 at its relaxed geometry.

Cell: 9.3122 4.0197 5.8435 Å, 90.00 109.54 90.00°
Space group C2/m (No. 12)
Unique sites:
Cu1 0.0000 0.0000 0.0000 x2
Ag1 0.0000 0.0000 0.5000 x2
Au1 0.1603 0.5000 0.3230 x4
Au2 0.1662 0.5000 0.8363 x4

The winner here is model 3, beating the second structure by 0.027 eV/atom.

Model 1:
VASP calculation (PBE) on crystalline CuAg2Au at its relaxed geometry.

Cell: 5.8600 5.8576 8.2308 Å, 90.00 110.59 90.00°
Space group C2/m (No. 12)
Unique sites:
Cu1 0.0000 0.2492 0.0000 x4
Ag1 0.1354 0.0000 0.7695 x4
Ag2 0.2500 0.2500 0.5000 x4
Au1 0.1380 0.5000 0.7757 x4

Model 2:
VASP calculation (PBE) on crystalline CuAg2Au at its relaxed geometry.

Cell: 2.9047 2.9047 27.4580 Å, 90.00 90.00 120.00°
Space group R-3m (No. 166, hexagonal axes)
Unique sites:
Cu1 0.0000 0.0000 0.0000 x3
Ag1 0.0000 0.0000 0.2558 x6
Au1 0.0000 0.0000 0.5000 x3

The winner here is model 1, beating the second structure by 0.098 eV/atom.

Model 1:
VASP calculation (PBE) on crystalline CuAg2Au at its relaxed geometry.

Cell: 4.0137 4.0137 8.2477 Å, 90.00 90.00 90.00°
Space group I4/mmm (No. 139)
Unique sites:
Cu1 0.0000 0.0000 0.0000 x2
Ag1 0.0000 0.5000 0.2500 x4
Au1 0.0000 0.0000 0.5000 x2

Model 2:
VASP calculation (PBE) on crystalline CuAg2Au at its relaxed geometry.

Cell: 4.1589 4.1589 7.6421 Å, 90.00 90.00 90.00°
Space group P4/nmm (No. 129, origin choice 2)
Unique sites:
Cu1 0.2500 0.7500 0.0000 x2
Ag1 0.2500 0.2500 0.2301 x2
Ag2 0.2500 0.7500 0.5000 x2
Au1 0.2500 0.2500 0.7757 x2

Model 3:
VASP calculation (PBE) on crystalline CuAg2Au at its relaxed geometry.

Cell: 9.4113 2.9503 4.9231 Å, 90.00 102.38 90.00°
Space group Cm (No. 8)
Unique sites:
Cu1 0.0000 0.0000 0.0000 x2
Ag1 0.0029 0.5000 0.5020 x2
Ag2 0.2437 0.5000 0.2492 x2
Au1 0.2613 0.0000 0.7678 x2

The winner here is model 2, beating the second structure by 0.032 eV/atom.

Model 1:
VASP calculation (PBE) on crystalline CuAg2Au at its relaxed geometry.

Cell: 6.4559 6.4559 6.4559 Å, 90.00 90.00 90.00°
Space group Fm-3m (No. 225)
Unique sites:
Cu1 0.0000 0.0000 0.0000 x4
Ag1 0.2500 0.2500 0.2500 x8
Au1 0.0000 0.0000 0.5000 x4

Model 2:
VASP calculation (PBE) on crystalline CuAg2Au at its relaxed geometry.

Cell: 2.8915 2.8915 7.9238 Å, 90.00 90.00 90.00°
Space group P4mm (No. 99)
Unique sites:
Cu1 0.0000 0.0000 0.0000 x1
Ag1 0.0000 0.0000 0.5009 x1
Ag2 0.5000 0.5000 0.2309 x1
Au1 0.5000 0.5000 0.7743 x1

The winner here is model 2, beating the second structure by 0.067 eV/atom.

Model 1:
VASP calculation (PBE) on crystalline CuAg2Au4 at its relaxed geometry.

Cell: 4.5237 4.5237 22.3896 Å, 90.00 90.00 120.00°
Space group R-3m (No. 166, hexagonal axes)
Unique sites:
Cu1 0.0000 0.0000 0.0000 x3
Ag1 0.0000 0.0000 0.2490 x6
Au1 0.0000 0.0000 0.1253 x6
Au2 0.0000 0.0000 0.3742 x6

Model 2:
VASP calculation (PBE) on crystalline CuAg2Au4 at its relaxed geometry.

Cell: 4.8116 18.3836 2.8594 Å, 90.00 90.00 90.00°
Space group Cmmm (No. 65)
Unique sites:
Cu1 0.0000 0.0000 0.0000 x2
Ag1 0.0000 0.2863 0.5000 x4
Au1 0.0000 0.1262 0.5000 x4
Au2 0.0000 0.4244 0.0000 x4

The winner here is model 2, beating the second structure by 0.063 eV/atom.